No. 1
The following is a DFT calculation (PBE-GGA) of K5CdHg after structural relaxation.

It has space group C2/c (No. 15), with a = 11.097 Å, b = 11.209 Å, c = 12.051 Å, α = 90.00°, β = 94.08° and γ = 90.00°. Symmetry generates all atoms from K at (0.000, 0.157, 0.250), K at (0.157, 0.219, 0.664), K at (0.180, 0.424, 0.008), Cd at (0.000, 0.490, 0.250) and Hg at (0.000, 0.000, 0.000).

The value obtained for the energy is -0.0744 Ry/atom. As for the energy relative to the elements: -55 meV/atom.

No. 2
The following is a DFT calculation (PBE-GGA) of BaFeSb2 after structural relaxation.

It has space group Cmmm (No. 65), with a = 4.503 Å, b = 5.916 Å, c = 8.107 Å, α = 90.00°, β = 90.00° and γ = 90.00°. Symmetry generates all atoms from Ba at (0.000, 0.000, 0.000), Fe at (0.000, 0.000, 0.500) and Sb at (0.000, 0.500, 0.315).

For the formation energy (no corrections), the calculation gives -0.044 eV per atom. The value obtained for the energy is -0.3455 Ry/atom.

No. 3
The following is a DFT calculation (PBE-GGA) of Pr3Al3Zn2 after structural relaxation.

It has space group C2/m (No. 12), with a = 17.280 Å, b = 4.366 Å, c = 5.136 Å, α = 90.00°, β = 101.55° and γ = 90.00°. Symmetry generates all atoms from Pr at (0.000, 0.000, 0.000), Pr at (0.147, 0.000, 0.598), Al at (0.000, 0.500, 0.500), Al at (0.143, 0.500, 0.107) and Zn at (0.236, 0.000, 0.164).

As for the offset from the most stable computed form: 94.7 meV/atom. The value obtained for the energy is -0.2807 Ry/atom. As for the energy relative to the elements: -305 meV/atom.

No. 4
The following is a DFT calculation (PBE-GGA) of CaTlIr4 after structural relaxation.

It has space group F-43m (No. 216), with a = 7.566 Å, b = 7.566 Å, c = 7.566 Å, α = 90.00°, β = 90.00° and γ = 90.00°. Symmetry generates all atoms from Ca at (0.000, 0.000, 0.000), Tl at (0.250, 0.250, 0.250) and Ir at (0.125, 0.125, 0.625).

The value obtained for the energy is -0.4879 Ry/atom. As for the energy relative to the elements: -3 meV/atom.